No. 1
DFT (SCAN) results for a crystal of CuAg2SnF relaxed with PBEsol.

Lattice parameters (Å, degrees): 4.8529 4.8529 3.7214 90.00 90.00 90.00
With the nearest neighbours (Å) after each atom.
Space group P4/mmm (No. 123)
Inequivalent atoms, fractional coordinates:
Cu 0.0000 0.0000 0.0000 x1  2 F 1.86
Ag 0.0000 0.5000 0.5000 x2  2 F 2.43
Sn 0.5000 0.5000 0.0000 x1  8 Ag 3.06
F 0.0000 0.0000 0.5000 x1  2 Cu 1.86

Calculated values
The calculated total energy is -0.8671 Ha/atom. The value obtained for the total magnetic moment is 0.0 μB per cell. The density of states at the Fermi level comes out at 1.4 states/eV per cell.

=====

No. 2
DFT (SCAN) results for a crystal of ZnAg2Au relaxed with PBEsol.

Lattice parameters (Å, degrees): 3.9450 3.9450 4.0881 90.00 90.00 90.00
With the nearest neighbours (Å) after each atom.
Space group P4/mmm (No. 123)
Inequivalent atoms, fractional coordinates:
Zn 0.0000 0.0000 0.0000 x1  4 Au 2.79, 8 Ag 2.84
Ag 0.0000 0.5000 0.5000 x2  4 Ag 2.79, 4 Zn 2.84, 4 Au 2.84
Au 0.5000 0.5000 0.0000 x1  4 Zn 2.79, 8 Ag 2.84

Calculated values
Its formation energy is -107 meV per atom. The calculated total energy is -1.3398 Ha/atom. The value obtained for the total magnetic moment is 0.0 μB per cell. The density of states at the Fermi level comes out at 1.1 states/eV per cell.

=====

No. 3
DFT (SCAN) results for a crystal of TeP2ICl relaxed with PBEsol.

Lattice parameters (Å, degrees): 5.1681 5.1681 5.0559 90.00 90.00 90.00
With the nearest neighbours (Å) after each atom.
Space group P4/mmm (No. 123)
Inequivalent atoms, fractional coordinates:
Te 0.0000 0.0000 0.0000 x1  2 Cl 2.53, 4 P 2.58
P 0.0000 0.5000 0.0000 x2  2 Te 2.58
I 0.5000 0.5000 0.5000 x1  8 P 3.61, 4 Cl 3.65
Cl 0.0000 0.0000 0.5000 x1  2 Te 2.53

Calculated values
The calculated total energy is -0.7243 Ha/atom. The value obtained for the total magnetic moment is 0.0 μB per cell. The density of states at the Fermi level comes out at 4.3 states/eV per cell.

=====

No. 4
DFT (SCAN) results for a crystal of RbW3O9 relaxed with PBEsol.

Lattice parameters (Å, degrees): 7.4096 7.4096 3.8223 90.00 90.00 120.00
With the nearest neighbours (Å) after each atom.
Space group P6/mmm (No. 191)
Inequivalent atoms, fractional coordinates:
Rb 0.0000 0.0000 0.0000 x1  18 O 3.32-3.70
W 0.0000 0.5000 0.5000 x3  6 O 1.91-1.92
O 0.0000 0.5000 0.0000 x3  2 W 1.91
O 0.2113 0.4226 0.5000 x6  2 W 1.92

Calculated values
The calculated total energy is -0.8929 Ha/atom. The value obtained for the total magnetic moment is 0.0 μB per cell. The density of states at the Fermi level comes out at 1.7 states/eV per cell.

=====

No. 5
DFT (SCAN) results for a crystal of Ta2CuIr relaxed with PBEsol.

Lattice parameters (Å, degrees): 2.8096 4.5055 4.8150 90.00 93.77 90.00
With the nearest neighbours (Å) after each atom.
Space group Pm (No. 6)
Inequivalent atoms, fractional coordinates:
Ta 0.0000 0.0000 0.0000 x1  4 Cu 2.68-2.80, 3 Ir 2.71-2.72, 4 Ta 2.81-2.90
Ta 0.1230 0.5000 0.6308 x1  3 Cu 2.67-2.76, 4 Ir 2.67-2.83, 4 Ta 2.81-2.90
Cu 0.5602 0.5000 0.1402 x1  7 Ta 2.67-2.80, 2 Ir 2.80, 2 Cu 2.81
Ir 0.5531 0.0000 0.4847 x1  7 Ta 2.67-2.83, 2 Cu 2.80, 2 Ir 2.81

Calculated values
Its formation energy is -333 meV per atom. The calculated total energy is -2.0285 Ha/atom. The value obtained for the total magnetic moment is 0.0 μB per cell. The density of states at the Fermi level comes out at 2.9 states/eV per cell.

=====

No. 6
DFT (SCAN) results for a crystal of Cd2Pb3 relaxed with PBEsol.

Lattice parameters (Å, degrees): 5.0354 5.0354 6.5136 90.00 90.00 120.00
With the nearest neighbours (Å) after each atom.
Space group P-3m1 (No. 164)
Inequivalent atoms, fractional coordinates:
Cd 0.3333 0.6667 0.3214 x2  8 Pb 3.10-3.40
Pb 0.0000 0.0000 0.5000 x1  6 Cd 3.13
Pb 0.3333 0.6667 0.8431 x2  5 Cd 3.10-3.40

Calculated values
Its formation energy is 66 meV per atom. The calculated total energy is -2.1156 Ha/atom. The value obtained for the total magnetic moment is 0.0 μB per cell. For the distance to the lowest polymorph of the same formula, the calculation gives 0.00 eV/f.u. The density of states at the Fermi level comes out at 2.1 states/eV per cell.

=====

No. 7
DFT (SCAN) results for a crystal of ZrTaGaC2 relaxed with PBEsol.

Lattice parameters (Å, degrees): 4.1336 4.1336 5.3570 90.00 90.00 90.00
With the nearest neighbours (Å) after each atom.
Space group P4/mmm (No. 123)
Inequivalent atoms, fractional coordinates:
Zr 0.0000 0.0000 0.0000 x1  2 Ta 2.68, 4 Ga 2.92
Ta 0.0000 0.0000 0.5000 x1  4 C 2.07
Ga 0.5000 0.5000 0.0000 x1  4 Zr 2.92
C 0.0000 0.5000 0.5000 x2  2 Ta 2.07

Calculated values
Its formation energy is 1472 meV per atom. The calculated total energy is -0.9295 Ha/atom. The value obtained for the total magnetic moment is 0.0 μB per cell. The density of states at the Fermi level comes out at 4.1 states/eV per cell.

=====

No. 8
DFT (SCAN) results for a crystal of BaIn2P relaxed with PBEsol.

Lattice parameters (Å, degrees): 3.6933 5.4582 10.6365 90.00 90.00 90.00
With the nearest neighbours (Å) after each atom.
Space group Immm (No. 71)
Inequivalent atoms, fractional coordinates:
Ba 0.0000 0.0000 0.0000 x2  4 P 3.30, 8 In 3.46-3.69
In 0.0000 0.5000 0.2002 x4  2 P 2.82
P 0.0000 0.0000 0.5000 x2  4 In 2.82

Calculated values
Its formation energy is -423 meV per atom. The calculated total energy is -1.0879 Ha/atom. The value obtained for the total magnetic moment is 0.0 μB per cell. The density of states at the Fermi level comes out at 3.2 states/eV per cell.